CdW2AuF | SCAN | PBEsol geometry

a b c (Å): 4.954 4.954 4.078
angles (deg): 90.00 90.00 90.00
Space group P4/mmm (No. 123)
Symmetry-distinct sites (fractional):
Cd1 0.000 0.000 0.000
W1 0.000 0.500 0.500
Au1 0.500 0.500 0.500
F1 0.500 0.500 0.000

Results
The raw formation energy comes out at 9.7 eV per formula unit. The calculation puts the energy at -46.557 eV/atom. As for the total magnetization: 0.01 μB per formula unit.


Cr4CuO12 | SCAN | PBEsol geometry

a b c (Å): 9.894 8.856 5.714
angles (deg): 90.00 110.52 90.00
Space group C2 (No. 5)
Symmetry-distinct sites (fractional):
Cr1 0.204 0.000 0.484
Cr2 0.207 0.815 0.996
Cu1 0.000 0.324 0.500
O1 0.121 0.314 0.860
O2 0.124 0.496 0.443
O3 0.136 0.904 0.201
O4 0.142 0.172 0.446
O5 0.148 0.647 0.954
O6 0.154 0.910 0.710

Results
The raw formation energy comes out at -28.2 eV per formula unit. The calculation puts the energy at -11.277 eV/atom. As for the total magnetization: 1.00 μB per formula unit.


HfZn2Cr2 | SCAN | PBEsol geometry

a b c (Å): 3.488 3.488 11.713
angles (deg): 90.00 90.00 90.00
Space group I4/mmm (No. 139)
Symmetry-distinct sites (fractional):
Hf1 0.000 0.000 0.000
Zn1 0.000 0.000 0.399
Cr1 0.000 0.500 0.250

Results
Its formation energy is 0.13 eV/atom. The calculation puts the energy at -25.164 eV/atom. As for the total magnetization: 0.00 μB per formula unit.


ScCr2Cl | SCAN | PBEsol geometry

a b c (Å): 4.495 4.495 3.088
angles (deg): 90.00 90.00 90.00
Space group P4/mmm (No. 123)
Symmetry-distinct sites (fractional):
Sc1 0.000 0.000 0.000
Cr1 0.000 0.500 0.500
Cl1 0.500 0.500 0.000

Results
The raw formation energy comes out at 2.2 eV per formula unit. The calculation puts the energy at -14.203 eV/atom. As for the total magnetization: 6.48 μB per formula unit.


CdSCl2 | SCAN | PBEsol geometry

a b c (Å): 3.6210 3.6210 28.1272
angles (deg): 90.00 90.00 120.00
Space group R-3m (No. 166, hexagonal axes)
Symmetry-distinct sites (fractional):
Cd1 0.0000 0.0000 0.0000
S1 0.0000 0.0000 0.5000
Cl1 0.0000 0.0000 0.0811

Results
The raw formation energy comes out at 0.7 eV per formula unit. The calculation puts the energy at -13.819 eV/atom. As for the total magnetization: 2.00 μB per formula unit.


Li2ZnPb | SCAN | PBEsol geometry

a b c (Å): 3.222 4.616 4.885
angles (deg): 90.00 90.00 90.00
Space group Pmm2 (No. 25)
Symmetry-distinct sites (fractional):
Li1 0.000 0.000 0.000
Li2 0.000 0.500 0.371
Zn1 0.500 0.000 0.489
Pb1 0.500 0.500 0.866

Results
Its formation energy is -0.26 eV/atom. The calculation puts the energy at -23.782 eV/atom. As for the total magnetization: 0.00 μB per formula unit.